The following is a DFT calculation (PBE-GGA) of a relaxed BaRe4Si crystal.

Density of states at the Fermi level in states/eV/atom: 0.966
Total moment in μB per cell: 0.0
Uncorrected formation energy in meV/atom: 1012
Calculated total energy in eV per cell: -204.26

a = 7.6851 Å, b = 7.6851 Å, c = 7.6851 Å
α = 90.00°, β = 90.00°, γ = 90.00°
Space group F-43m (No. 216)
Inequivalent atoms, fractional coordinates:
Ba: 0.0000 0.0000 0.0000 x4
Re: 0.1232 0.1232 0.6232 x16
Si: 0.2500 0.2500 0.2500 x4



The following is a DFT calculation (PBE-GGA) of a relaxed BaReSi2 crystal.

Density of states at the Fermi level in states/eV/atom: 1.013
Total moment in μB per cell: 1.6
Uncorrected formation energy in meV/atom: 1130
Calculated total energy in eV per cell: -20.70

a = 4.4518 Å, b = 4.4518 Å, c = 4.2946 Å
α = 90.00°, β = 90.00°, γ = 90.00°
Space group P4/mmm (No. 123)
Inequivalent atoms, fractional coordinates:
Ba: 0.0000 0.0000 0.0000 x1
Re: 0.5000 0.5000 0.0000 x1
Si: 0.0000 0.5000 0.5000 x2



The following is a DFT calculation (PBE-GGA) of a relaxed BaReSi2 crystal.

Density of states at the Fermi level in states/eV/atom: 0.912
Total moment in μB per cell: 2.0
Uncorrected formation energy in meV/atom: 1076
Calculated total energy in eV per cell: -41.82

a = 6.0260 Å, b = 9.3486 Å, c = 2.9123 Å
α = 90.00°, β = 90.00°, γ = 90.00°
Space group Cmmm (No. 65)
Inequivalent atoms, fractional coordinates:
Ba: 0.0000 0.0000 0.0000 x2
Re: 0.0000 0.5000 0.0000 x2
Si: 0.2500 0.2500 0.5000 x4



The following is a DFT calculation (PBE-GGA) of a relaxed BaReSi crystal.

Density of states at the Fermi level in states/eV/atom: 1.279
Total moment in μB per cell: 0.0
Uncorrected formation energy in meV/atom: 1104
Calculated total energy in eV per cell: -65.93

a = 6.5864 Å, b = 6.5864 Å, c = 6.5864 Å
α = 90.00°, β = 90.00°, γ = 90.00°
Space group F-43m (No. 216)
Inequivalent atoms, fractional coordinates:
Ba: 0.0000 0.0000 0.0000 x4
Re: 0.2500 0.2500 0.2500 x4
Si: 0.0000 0.0000 0.5000 x4



The following is a DFT calculation (PBE-GGA) of a relaxed BaReSi crystal.

Density of states at the Fermi level in states/eV/atom: 0.879
Total moment in μB per cell: 0.0
Uncorrected formation energy in meV/atom: 245
Calculated total energy in eV per cell: -38.12

a = 3.3562 Å, b = 3.3562 Å, c = 12.0041 Å
α = 90.00°, β = 90.00°, γ = 90.00°
Space group I4mm (No. 107)
Inequivalent atoms, fractional coordinates:
Ba: 0.0000 0.0000 0.0000 x2
Re: 0.0000 0.0000 0.7156 x2
Si: 0.0000 0.0000 0.2753 x2



The following is a DFT calculation (PBE-GGA) of a relaxed BaReSi2 crystal.

Density of states at the Fermi level in states/eV/atom: 0.778
Total moment in μB per cell: 0.0
Uncorrected formation energy in meV/atom: 151
Calculated total energy in eV per cell: -24.61

a = 3.2957 Å, b = 3.8691 Å, c = 7.0508 Å
α = 90.00°, β = 103.41°, γ = 90.00°
Space group Pm (No. 6)
Inequivalent atoms, fractional coordinates:
Ba: 0.0000 0.0000 0.0000 x1
Re: 0.7220 0.5000 0.4406 x1
Si: 0.2401 0.0000 0.4754 x1
Si: 0.3548 0.5000 0.7080 x1



The following is a DFT calculation (PBE-GGA) of a relaxed BaReSi2 crystal.

Density of states at the Fermi level in states/eV/atom: 1.042
Total moment in μB per cell: 0.4
Uncorrected formation energy in meV/atom: 1121
Calculated total energy in eV per cell: -82.93

a = 6.8138 Å, b = 6.8138 Å, c = 6.8138 Å
α = 90.00°, β = 90.00°, γ = 90.00°
Space group F-43m (No. 216)
Inequivalent atoms, fractional coordinates:
Ba: 0.0000 0.0000 0.0000 x4
Re: 0.2500 0.2500 0.2500 x4
Si: 0.0000 0.0000 0.5000 x4
Si: 0.2500 0.2500 0.7500 x4



The following is a DFT calculation (PBE-GGA) of a relaxed BaReSi crystal.

Density of states at the Fermi level in states/eV/atom: 1.121
Total moment in μB per cell: 2.2
Uncorrected formation energy in meV/atom: 1202
Calculated total energy in eV per cell: -64.76

a = 6.6796 Å, b = 6.6796 Å, c = 6.6796 Å
α = 90.00°, β = 90.00°, γ = 90.00°
Space group F-43m (No. 216)
Inequivalent atoms, fractional coordinates:
Ba: 0.0000 0.0000 0.0000 x4
Re: 0.0000 0.0000 0.5000 x4
Si: 0.2500 0.2500 0.7500 x4



The following is a DFT calculation (PBE-GGA) of a relaxed BaReSi2 crystal.

Density of states at the Fermi level in states/eV/atom: 0.613
Total moment in μB per cell: 0.0
Uncorrected formation energy in meV/atom: 150
Calculated total energy in eV per cell: -49.23

a = 3.2090 Å, b = 3.9336 Å, c = 14.1226 Å
α = 90.00°, β = 90.00°, γ = 90.00°
Space group Imm2 (No. 44)
Inequivalent atoms, fractional coordinates:
Ba: 0.0000 0.0000 0.0000 x2
Re: 0.0000 0.5000 0.7278 x2
Si: 0.0000 0.0000 0.3556 x2
Si: 0.0000 0.5000 0.2080 x2



The following is a DFT calculation (PBE-GGA) of a relaxed BaReSi2 crystal.

Density of states at the Fermi level in states/eV/atom: 0.936
Total moment in μB per cell: 0.0
Uncorrected formation energy in meV/atom: -35
Calculated total energy in eV per cell: -50.71

a = 8.0597 Å, b = 3.5084 Å, c = 7.1650 Å
α = 90.00°, β = 116.20°, γ = 90.00°
Space group Cm (No. 8)
Inequivalent atoms, fractional coordinates:
Ba: 0.0000 0.0000 0.0000 x2
Re: 0.2899 0.5000 0.4691 x2
Si: 0.1367 0.0000 0.5990 x2
Si: 0.4420 0.0000 0.3513 x2



The following is a DFT calculation (PBE-GGA) of a relaxed BaReSi2 crystal.

Density of states at the Fermi level in states/eV/atom: 0.877
Total moment in μB per cell: 2.7
Uncorrected formation energy in meV/atom: 754
Calculated total energy in eV per cell: -88.80

a = 6.8104 Å, b = 6.8104 Å, c = 6.8104 Å
α = 90.00°, β = 90.00°, γ = 90.00°
Space group Fm-3m (No. 225)
Inequivalent atoms, fractional coordinates:
Ba: 0.0000 0.0000 0.0000 x4
Re: 0.0000 0.0000 0.5000 x4
Si: 0.2500 0.2500 0.2500 x8



The following is a DFT calculation (PBE-GGA) of a relaxed BaReSi crystal.

Density of states at the Fermi level in states/eV/atom: 0.637
Total moment in μB per cell: 0.0
Uncorrected formation energy in meV/atom: 231
Calculated total energy in eV per cell: -19.10

a = 4.1722 Å, b = 4.1722 Å, c = 5.1591 Å
α = 90.00°, β = 90.00°, γ = 120.00°
Space group P-6m2 (No. 187)
Inequivalent atoms, fractional coordinates:
Ba: 0.0000 0.0000 0.0000 x1
Re: 0.6667 0.3333 0.5000 x1
Si: 0.3333 0.6667 0.5000 x1